(1)
# Pr2HoPt GGA-PBE optimized geometry
# total moment = 0.000 μB/atom
# DFT formation energy = -0.55 eV/atom
# total energy = -44.8 eV per cell
# N(E_F) = 4.5 states/eV/f.u.
# distance to the lowest polymorph of the same formula = 0.000 eV per atom
data_Pr2HoPt
_chemical_formula_sum 'Pr4 Ho2 Pt2'
_symmetry_space_group_name_H-M 'C 1 m 1'
_symmetry_Int_Tables_number 8
_symmetry_space_group_name_Hall 'C -2y'
_cell_length_a 5.1121
_cell_length_b 5.1276
_cell_length_c 8.8712
_cell_angle_alpha 90.00
_cell_angle_beta 90.10
_cell_angle_gamma 90.00
loop_
_atom_site_label
_atom_site_fract_x
_atom_site_fract_y
_atom_site_fract_z
_atom_site_occupancy
Pr1 0.0000 0.0000 0.0000 1
Pr2 0.0005 0.5000 0.3124 1
Ho1 0.0009 0.0000 0.6211 1
Pt1 0.0008 0.5000 0.7827 1

---

(2)
# Pr2HoPt GGA-PBE optimized geometry
# total moment = 0.000 μB/atom
# DFT formation energy = -0.45 eV/atom
# total energy = -22.0 eV per cell
# N(E_F) = 6.5 states/eV/f.u.
# distance to the lowest polymorph of the same formula = 0.108 eV per atom
data_Pr2HoPt
_chemical_formula_sum 'Pr2 Ho1 Pt1'
_symmetry_space_group_name_H-M 'P 4/m m m'
_symmetry_Int_Tables_number 123
_symmetry_space_group_name_Hall '-P 4 2'
_cell_length_a 3.7254
_cell_length_b 3.7254
_cell_length_c 8.4049
_cell_angle_alpha 90.00
_cell_angle_beta 90.00
_cell_angle_gamma 90.00
loop_
_atom_site_label
_atom_site_fract_x
_atom_site_fract_y
_atom_site_fract_z
_atom_site_occupancy
Pr1 0.0000 0.0000 0.2027 1
Ho1 0.5000 0.5000 0.5000 1
Pt1 0.5000 0.5000 0.0000 1

---

(3)
# PrHo2Pt2 GGA-PBE optimized geometry
# total moment = 0.000 μB/atom
# DFT formation energy = -0.92 eV/atom
# total energy = -61.2 eV per cell
# N(E_F) = 5.9 states/eV/f.u.
# distance to the lowest polymorph of the same formula = 0.093 eV per atom
data_PrHo2Pt2
_chemical_formula_sum 'Pr2 Ho4 Pt4'
_symmetry_space_group_name_H-M 'C 1 2/m 1'
_symmetry_Int_Tables_number 12
_symmetry_space_group_name_Hall '-C 2y'
_cell_length_a 6.6234
_cell_length_b 6.6147
_cell_length_c 6.6966
_cell_angle_alpha 90.00
_cell_angle_beta 118.72
_cell_angle_gamma 90.00
loop_
_atom_site_label
_atom_site_fract_x
_atom_site_fract_y
_atom_site_fract_z
_atom_site_occupancy
Pr1 0.0000 0.0000 0.0000 1
Ho1 0.0000 0.2506 0.5000 1
Pt1 0.1176 0.5000 0.2270 1

---

(4)
# PrHoPt2 GGA-PBE optimized geometry
# total moment = 0.000 μB/atom
# DFT formation energy = -1.09 eV/atom
# total energy = -77.4 eV per cell
# N(E_F) = 2.2 states/eV/f.u.
# distance to the lowest polymorph of the same formula = 0.102 eV per atom
data_PrHoPt2
_chemical_formula_sum 'Pr3 Ho3 Pt6'
_symmetry_space_group_name_H-M 'R -3 m'
_symmetry_Int_Tables_number 166
_symmetry_space_group_name_Hall '-R 3 2"'
_cell_length_a 4.1486
_cell_length_b 4.1486
_cell_length_c 20.1880
_cell_angle_alpha 90.00
_cell_angle_beta 90.00
_cell_angle_gamma 120.00
loop_
_atom_site_label
_atom_site_fract_x
_atom_site_fract_y
_atom_site_fract_z
_atom_site_occupancy
Pr1 0.0000 0.0000 0.0000 1
Ho1 0.0000 0.0000 0.5000 1
Pt1 0.0000 0.0000 0.2444 1